4
Lattice="-2.981 0.449 3.627 -2.874 -0.514 -3.704 -0.692 -3.658 0.470" Properties=species:S:1:pos:R:3 comment="In2CuP | the Alexandria database | PBE | optimized geometry" final_energy_ry_per_atom=-0.254 sg="C2/m (12)" density_g_cm3=6.75 dos_at_fermi_per_ev_cell=1.26 pbc="T T T"
In 0.000 0.000 0.000
P -1.836 -1.604 2.049
In -2.927 -0.032 -0.039
Cu -1.783 -2.086 -1.617